Record 1
First-principles (PBE) data for crystalline RbGe2Sb2 at its relaxed geometry, as listed in the Alexandria database.

The value obtained for the density of states at the Fermi level is 0.2991 states/eV per atom. As for the density: 4.65 g cm⁻³. The volume is 33.90 Å³ per atom. The calculation puts the energy above the most stable polymorph in this dataset at 0 meV per atom. Its uncorrected formation energy is -87 meV per atom.

The space group is I4/mmm (No. 139) and the conventional cell measures 4.9925, 4.9925 and 13.6015 Å, with angles of 90.00, 90.00 and 90.00 degrees. The asymmetric unit holds Rb at (0.0000, 0.0000, 0.0000), Ge at (0.0000, 0.5000, 0.2500) and Sb at (0.0000, 0.0000, 0.3482).



Record 2
First-principles (PBE) data for crystalline Na3Tl3CrBr8 at its relaxed geometry, as listed in the Alexandria database.

The value obtained for the density of states at the Fermi level is 0.4126 states/eV per atom. As for the density: 4.54 g cm⁻³. The volume is 33.52 Å³ per atom. Its uncorrected formation energy is -1070 meV per atom.

The space group is C2/m (No. 12) and the conventional cell measures 15.0160, 8.6609 and 9.2131 Å, with angles of 90.00, 122.95 and 90.00 degrees. The asymmetric unit holds Na at (0.0000, 0.0000, 0.0000), Na at (0.2500, 0.2500, 0.0000), Tl at (0.0000, 0.5000, 0.5000), Tl at (0.2500, 0.2500, 0.5000), Cr at (0.0000, 0.5000, 0.0000), Br at (0.0091, 0.2758, 0.8035), Br at (0.2150, 0.5000, 0.1965) and Br at (0.2382, 0.0000, 0.2143).



Record 3
First-principles (PBE) data for crystalline ScPaZn2 at its relaxed geometry, as listed in the Alexandria database.

The formation energy is -0.04 eV/atom. The value obtained for the density of states at the Fermi level is 1.2423 states/eV per atom. As for the density: 8.16 g cm⁻³. The volume is 20.71 Å³ per atom. The calculation puts the energy above the most stable polymorph in this dataset at 131 meV per atom.

The space group is R-3m (No. 166, hexagonal axes) and the conventional cell measures 3.1491, 3.1491 and 28.9319 Å, with angles of 90.00, 90.00 and 120.00 degrees. The asymmetric unit holds Sc at (0.0000, 0.0000, 0.0000), Pa at (0.0000, 0.0000, 0.5000) and Zn at (0.0000, 0.0000, 0.2554).



Record 4
First-principles (PBE) data for crystalline Sc2OsPtF at its relaxed geometry, as listed in the Alexandria database.

The value obtained for the density of states at the Fermi level is 0.7292 states/eV per atom. As for the density: 10.37 g cm⁻³. The volume is 15.83 Å³ per atom. Its uncorrected formation energy is -624 meV per atom.

The space group is P4/mmm (No. 123) and the conventional cell measures 4.3725, 4.3725 and 4.1388 Å, with angles of 90.00, 90.00 and 90.00 degrees. The asymmetric unit holds Sc at (0.0000, 0.5000, 0.0000), Os at (0.0000, 0.0000, 0.5000), Pt at (0.5000, 0.5000, 0.5000) and F at (0.0000, 0.0000, 0.0000).



Record 5
First-principles (PBE) data for crystalline SnPS2O at its relaxed geometry, as listed in the Alexandria database.

The value obtained for the density of states at the Fermi level is 0.8946 states/eV per atom. As for the density: 4.55 g cm⁻³. The volume is 16.76 Å³ per atom. The calculation puts the energy above the most stable polymorph in this dataset at 0 meV per atom. Its uncorrected formation energy is 502 meV per atom.

The space group is P4/mmm (No. 123) and the conventional cell measures 4.4626, 4.4626 and 4.2077 Å, with angles of 90.00, 90.00 and 90.00 degrees. The asymmetric unit holds Sn at (0.0000, 0.0000, 0.0000), P at (0.5000, 0.5000, 0.0000), S at (0.0000, 0.5000, 0.5000) and O at (0.5000, 0.5000, 0.5000).



Record 6
First-principles (PBE) data for crystalline La8Pd2PtC at its relaxed geometry, as listed in the Alexandria database.

The formation energy is -0.42 eV/atom. The value obtained for the density of states at the Fermi level is 1.2192 states/eV per atom. As for the density: 6.58 g cm⁻³. The volume is 32.22 Å³ per atom.

The space group is P-1 (No. 2) and the conventional cell measures 6.7797, 6.8349 and 8.3448 Å, with angles of 89.99, 89.95 and 89.30 degrees. The asymmetric unit holds La at (0.2242, 0.1813, 0.0004), La at (0.2290, 0.6485, 0.7805), La at (0.2287, 0.6489, 0.2192), La at (0.2497, 0.1543, 0.5000), Pd at (0.5002, 0.9999, 0.2406), Pt at (0.0000, 0.5000, 0.5000) and C at (0.0000, 0.5000, 0.0000).